This record from Alexandria via LeMat-Bulk describes Nb5GaB after structural relaxation. The functional is PBE.

Geometry as POSCAR:
```
Nb5GaB
1.0
5.198 -1.163 -1.141
0.546 5.298 -1.141
0.846 0.609 7.982
Ga Nb B
2 10 2
Cartesian
3.275 1.955 0.855
3.316 2.790 4.846
2.493 4.401 -0.341
1.203 3.472 2.051
5.388 1.273 3.650
4.583 2.431 -1.433
2.007 2.314 7.134
1.742 4.976 4.846
2.408 0.865 3.143
4.182 3.880 2.558
4.097 0.343 6.042
4.848 -0.231 0.855
0.423 0.305 3.991
0.000 0.000 0.000
```

Computed properties:
energy relative to the elements = -0.14 eV per atom
space group = C2/c, No. 15
DOS at the Fermi energy = 0.7603 states/eV/atom
volume = 16.74 Å³/atom

This record from Alexandria via LeMat-Bulk describes Li5Ti2F12 after structural relaxation. The functional is PBE.

Geometry as POSCAR:
```
Li5Ti2F12
1.0
-0.815 4.815 -3.048
3.386 -4.471 -2.532
-7.557 -1.994 -1.130
F Li Ti
12 5 2
Cartesian
-3.380 -0.390 -2.428
-6.136 -1.852 -1.286
-0.687 2.635 -3.830
1.149 0.202 -5.424
1.646 -2.192 -3.902
-4.300 -4.285 -2.880
-1.606 -1.260 -4.282
-6.632 0.542 -2.808
-3.788 2.020 -3.953
-4.710 -1.858 -4.417
-0.276 0.208 -2.293
-1.198 -3.670 -2.757
-2.244 0.567 -3.940
-0.281 -2.210 -3.416
-4.705 0.560 -3.294
-2.742 -2.217 -2.770
-3.779 -0.997 -0.565
-0.621 3.673 -2.325
-0.193 1.142 -0.723
```

Computed properties:
space group = C2/m, No. 12
energy relative to the elements, uncorrected = -3.035 eV/atom
volume = 12.32 Å³/atom

This record from Alexandria via LeMat-Bulk describes Ac2Th3O9 after structural relaxation. The functional is PBE.

Geometry as POSCAR:
```
Ac2Th3O9
1.0
3.984 0.000 -0.559
-0.078 3.984 -0.559
0.048 0.049 14.832
Th O Ac
3 9 2
Cartesian
2.993 1.020 6.857
0.578 2.621 4.122
1.345 3.403 9.592
2.772 2.827 5.279
2.392 2.439 2.570
0.799 0.815 5.697
1.953 1.992 -0.559
1.563 1.594 11.144
0.410 0.418 2.921
3.155 3.218 8.017
1.183 1.206 8.435
3.545 3.615 10.794
3.760 1.803 12.327
2.226 0.238 1.388
```

Computed properties:
space group = I-4m2, No. 119
energy relative to the elements, uncorrected = -3.653 eV/atom
DOS at the Fermi energy = 0.0000 states/eV/atom
volume = 16.83 Å³/atom

This record from Alexandria via LeMat-Bulk describes Li2CaZr after structural relaxation. The functional is PBE.

Geometry as POSCAR:
```
Li2CaZr
1.0
-5.092 0.268 -1.417
-0.061 -5.242 -0.725
-0.909 -0.430 3.184
Ca Zr Li
1 1 2
Cartesian
-0.485 -2.836 1.229
-3.000 -0.081 0.884
0.000 0.000 0.000
-2.577 -2.487 -1.071
```

Computed properties:
offset from the most stable computed form = 84 meV/atom
energy relative to the elements = 0.34 eV per atom
space group = Cmmm, No. 65
DOS at the Fermi energy = 1.1250 states/eV/atom
volume = 23.38 Å³/atom

Number 1: magnetization 0.00 μB per formula unit. Number 2: magnetization 1.00 μB per formula unit. Number 3: magnetization 0.00 μB per formula unit. Number 4: magnetization 0.00 μB per formula unit.